This record from Alexandria describes crystalline LaW2Br at its relaxed geometry. The functional is PBE-GGA.

Computed properties:
Relative energy among the computed polymorphs = 409 kJ/mol of formula units
Symmetry = Cmmm
Total moment = 0.000 μB per formula unit
Density of states at the Fermi level = 4.07 states/eV/cell
V = 81.2 Å³ per cell

Cell lengths 3.038, 3.038, 10.048 Å; angles 90.00, 90.00, 118.91 degrees
Positions (direct):
Br 0.500 0.500 0.250
La 0.500 0.500 0.750
W 0.000 0.000 0.020
W 0.000 0.000 0.480